Compound: B2C
Source: the Alexandria database
Functional: GGA-PBE
Structure: relaxed

Offset from the most stable computed form (meV per atom): 256.2
ΔH_f (0 K) (eV per formula unit): 1.32

a = 3.7860 Å, b = 11.7110 Å, c = 3.9674 Å
α = 90.00°, β = 93.15°, γ = 90.00°
Space group C2 (No. 5)
Unique sites:
B: 0.0000 0.0000 0.0000 [2 per cell]
B: 0.0000 0.1251 0.5000 [2 per cell]
B: 0.0000 0.3032 0.0000 [2 per cell]
B: 0.0000 0.6320 0.0000 [2 per cell]
B: 0.2013 0.3846 0.3185 [4 per cell]
B: 0.2117 0.2454 0.6822 [4 per cell]
C: 0.0000 0.4845 0.5000 [2 per cell]
C: 0.0000 0.8139 0.5000 [2 per cell]
C: 0.2369 0.5580 0.7370 [4 per cell]

Compound: Ce3Ho5N8
Source: the Alexandria database
Functional: GGA-PBE
Structure: relaxed

a = 6.9866 Å, b = 6.9866 Å, c = 17.1167 Å
α = 90.00°, β = 90.00°, γ = 120.00°
Space group R-3m (No. 166, hexagonal axes)
Unique sites:
Ce: 0.0000 0.5000 0.0000 [9 per cell]
Ho: 0.0000 0.0000 0.0000 [3 per cell]
Ho: 0.0000 0.0000 0.5000 [3 per cell]
Ho: 0.0000 0.5000 0.5000 [9 per cell]
N: 0.0000 0.0000 0.2483 [6 per cell]
N: 0.9996 0.4998 0.2498 [18 per cell]

Compound: VHPb2
Source: the Alexandria database
Functional: GGA-PBE
Structure: relaxed

Offset from the most stable computed form (meV per atom): 139.9

a = 6.8872 Å, b = 6.8872 Å, c = 6.8872 Å
α = 90.00°, β = 90.00°, γ = 90.00°
Space group Fm-3m (No. 225)
Unique sites:
V: 0.0000 0.0000 0.0000 [4 per cell]
H: 0.0000 0.0000 0.5000 [4 per cell]
Pb: 0.2500 0.2500 0.2500 [8 per cell]

Compound: Sc2SI
Source: the Alexandria database
Functional: GGA-PBE
Structure: relaxed

Offset from the most stable computed form (meV per atom): 385.8

a = 6.1624 Å, b = 6.1624 Å, c = 12.2714 Å
α = 90.00°, β = 90.00°, γ = 90.00°
Space group I-42d (No. 122)
Unique sites:
Sc: 0.1864 0.2500 0.1250 [8 per cell]
S: 0.0000 0.0000 0.0000 [4 per cell]
I: 0.0000 0.0000 0.5000 [4 per cell]

Compound: YScBr3
Source: the Alexandria database
Functional: GGA-PBE
Structure: relaxed

Offset from the most stable computed form (meV per atom): 732.4

a = 5.2962 Å, b = 5.2962 Å, c = 5.2962 Å
α = 90.00°, β = 90.00°, γ = 90.00°
Space group Pm-3m (No. 221)
Unique sites:
Y: 0.0000 0.0000 0.0000 [1 per cell]
Sc: 0.5000 0.5000 0.5000 [1 per cell]
Br: 0.0000 0.5000 0.5000 [3 per cell]

Compound: Tb6AlSn2
Source: the Alexandria database
Functional: GGA-PBE
Structure: relaxed

ΔH_f (0 K) (eV per formula unit): -4.17

a = 8.2884 Å, b = 8.2884 Å, c = 4.3913 Å
α = 90.00°, β = 90.00°, γ = 120.00°
Space group P-62m (No. 189)
Unique sites:
Tb: 0.0000 0.2517 0.0000 [3 per cell]
Tb: 0.0000 0.5949 0.5000 [3 per cell]
Al: 0.0000 0.0000 0.5000 [1 per cell]
Sn: 0.3333 0.6667 0.0000 [2 per cell]

Compound: La3U2O10
Source: the Alexandria database
Functional: GGA-PBE
Structure: relaxed

Offset from the most stable computed form (meV per atom): 0.0

a = 6.8693 Å, b = 7.7789 Å, c = 8.7292 Å
α = 101.78°, β = 97.59°, γ = 106.97°
Space group P-1 (No. 2)
Unique sites:
La: 0.0000 0.0000 0.0000 [1 per cell]
La: 0.0000 0.5000 0.0000 [1 per cell]
La: 0.2001 0.3967 0.3957 [2 per cell]
La: 0.3894 0.7981 0.7982 [2 per cell]
U: 0.1998 0.9033 0.4029 [2 per cell]
U: 0.4002 0.3032 0.8009 [2 per cell]
O: 0.0465 0.7284 0.8469 [2 per cell]
O: 0.0565 0.2269 0.8212 [2 per cell]
O: 0.1454 0.1559 0.5480 [2 per cell]
O: 0.1490 0.6920 0.5261 [2 per cell]
O: 0.2580 0.0985 0.2648 [2 per cell]
O: 0.2805 0.6577 0.2465 [2 per cell]
O: 0.3580 0.5557 0.9525 [2 per cell]
O: 0.3630 0.1041 0.9363 [2 per cell]
O: 0.4345 0.0320 0.6310 [2 per cell]
O: 0.4409 0.5018 0.6625 [2 per cell]

Compound: CuRe2Mo
Source: the Alexandria database
Functional: GGA-PBE
Structure: relaxed

Offset from the most stable computed form (meV per atom): 23.1
ΔH_f (0 K) (eV per formula unit): 0.79

a = 2.7386 Å, b = 3.9699 Å, c = 5.3755 Å
α = 90.00°, β = 90.00°, γ = 90.00°
Space group Pmm2 (No. 25)
Unique sites:
Cu: 0.0000 0.0000 0.0000 [1 per cell]
Re: 0.0000 0.0000 0.5075 [1 per cell]
Re: 0.5000 0.5000 0.7456 [1 per cell]
Mo: 0.5000 0.5000 0.2454 [1 per cell]

no.,DOS(E_F) (states/eV/cell),uncorrected energy (eV/atom)
1,6.91,-7.08
2,26.60,-8.35
3,18.81,-4.17
4,12.98,-5.44
5,6.09,-4.29
6,7.84,-4.86
7,9.39,-9.24
8,2.97,-9.76